# 1
Ca2YMo: relaxed, PBE.

Calculated values
The formation enthalpy at 0 K is 652 meV/atom. The size of the total moment is 1.07 Bohr magnetons per cell. The crystal system is orthorhombic. For the final energy, the calculation gives -4.672 eV per atom. Its space-group type is Pmmm. The offset from the most stable computed form is 0.221 eV/atom.

abc: 4.599 4.613 5.185
angles: 90.00 90.00 90.00
Fractional coordinates of all 4 atoms:
Ca1 0.000 0.000 0.000
Ca2 0.500 0.500 0.000
Y1 0.000 0.500 0.500
Mo1 0.500 0.000 0.500

***

# 2
Sn3Sb2Se: relaxed, PBE.

Calculated values
The size of the total moment is 0.00 Bohr magnetons per cell. The crystal system is monoclinic. For the final energy, the calculation gives -4.082 eV per atom. Its space-group type is P2_1/c.

abc: 6.155 13.045 8.738
angles: 90.00 90.37 90.00
Fractional coordinates of all 24 atoms:
Sn1 0.223 0.081 0.118
Sn2 0.223 0.419 0.618
Sn3 0.246 0.741 0.613
Sn4 0.246 0.759 0.113
Sn5 0.253 0.086 0.621
Sn6 0.253 0.414 0.121
Sn7 0.747 0.586 0.879
Sn8 0.747 0.914 0.379
Sn9 0.754 0.241 0.887
Sn10 0.754 0.259 0.387
Sn11 0.777 0.581 0.382
Sn12 0.777 0.919 0.882
Sb1 0.249 0.584 0.877
Sb2 0.249 0.916 0.377
Sb3 0.257 0.250 0.378
Sb4 0.257 0.250 0.878
Sb5 0.743 0.750 0.122
Sb6 0.743 0.750 0.622
Sb7 0.751 0.084 0.623
Sb8 0.751 0.416 0.123
Se1 0.236 0.584 0.385
Se2 0.236 0.916 0.885
Se3 0.764 0.084 0.115
Se4 0.764 0.416 0.615

***

# 3
LaTaTl2: relaxed, PBE.

Calculated values
The formation enthalpy at 0 K is 304 meV/atom. The size of the total moment is 0.00 Bohr magnetons per cell. The crystal system is monoclinic. For the final energy, the calculation gives -5.074 eV per atom. Its space-group type is Cm.

abc: 7.462 7.462 5.063
angles: 109.76 109.76 24.89
Fractional coordinates of all 4 atoms:
La1 0.000 0.000 0.000
Ta1 0.298 0.298 0.800
Tl1 0.617 0.617 0.617
Tl2 0.811 0.811 0.312

***

# 4
ScMoAs: relaxed, PBE.

Calculated values
The formation enthalpy at 0 K is -448 meV/atom. The size of the total moment is 0.00 Bohr magnetons per cell. The crystal system is tetragonal. For the final energy, the calculation gives -7.719 eV per atom. Its space-group type is I4mm.

abc: 5.236 5.236 5.236
angles: 142.66 142.66 53.83
Fractional coordinates of all 3 atoms:
Sc1 0.000 0.000 0.000
Mo1 0.309 0.309 0.000
As1 0.688 0.688 0.000

***

# 5
YTmS: relaxed, PBE.

Calculated values
The size of the total moment is 0.07 Bohr magnetons per cell. The crystal system is trigonal. For the final energy, the calculation gives -6.306 eV per atom. Its space-group type is P3m1.

abc: 3.755 3.755 6.235
angles: 90.00 90.00 120.00
Fractional coordinates of all 3 atoms:
Y1 0.000 0.000 0.000
Tm1 0.333 0.667 0.531
S1 0.667 0.333 0.271

***

# 6
Sr2MgI2: relaxed, PBE.

Calculated values
The size of the total moment is 0.00 Bohr magnetons per cell. The crystal system is tetragonal. For the final energy, the calculation gives -2.311 eV per atom. Its space-group type is P4/mbm.

abc: 9.686 9.686 4.046
angles: 90.00 90.00 90.00
Fractional coordinates of all 10 atoms:
Sr1 0.169 0.331 0.000
Sr2 0.331 0.831 0.000
Sr3 0.669 0.169 0.000
Sr4 0.831 0.669 0.000
Mg1 0.000 0.000 0.500
Mg2 0.500 0.500 0.500
I1 0.132 0.632 0.500
I2 0.368 0.132 0.500
I3 0.632 0.868 0.500
I4 0.868 0.368 0.500

***

# 7
HoAl2Au6: relaxed, PBE.

Calculated values
The formation enthalpy at 0 K is -192 meV/atom. The size of the total moment is 0.00 Bohr magnetons per cell. The crystal system is cubic. For the final energy, the calculation gives -3.718 eV per atom. Its space-group type is Fd-3m. The offset from the most stable computed form is 0.203 eV/atom.

abc: 8.290 8.290 8.290
angles: 60.00 60.00 60.00
Fractional coordinates of all 18 atoms:
Ho1 0.125 0.125 0.125
Ho2 0.875 0.875 0.875
Al1 0.000 0.500 0.500
Al2 0.500 0.000 0.500
Al3 0.500 0.500 0.000
Al4 0.500 0.500 0.500
Au1 0.124 0.124 0.626
Au2 0.124 0.626 0.124
Au3 0.124 0.626 0.626
Au4 0.374 0.374 0.876
Au5 0.374 0.876 0.374
Au6 0.374 0.876 0.876
Au7 0.626 0.124 0.124
Au8 0.626 0.124 0.626
Au9 0.626 0.626 0.124
Au10 0.876 0.374 0.374
Au11 0.876 0.374 0.876
Au12 0.876 0.876 0.374

***

# 8
B2C: relaxed, PBE.

Calculated values
The formation enthalpy at 0 K is 460 meV/atom. The size of the total moment is 0.00 Bohr magnetons per cell. The crystal system is monoclinic. For the final energy, the calculation gives -7.066 eV per atom. Its space-group type is Cm. The offset from the most stable computed form is 0.275 eV/atom.

abc: 4.678 4.678 8.050
angles: 113.52 113.52 32.86
Fractional coordinates of all 12 atoms:
B1 0.000 0.000 0.000
B2 0.037 0.037 0.544
B3 0.183 0.183 0.195
B4 0.319 0.319 0.624
B5 0.512 0.512 0.367
B6 0.615 0.615 0.993
B7 0.702 0.702 0.373
B8 0.730 0.730 0.836
C1 0.203 0.203 0.727
C2 0.360 0.360 0.180
C3 0.845 0.845 0.066
C4 0.860 0.860 0.549

***

Look up the size of the total moment of the third one.
0.00 Bohr magnetons per cell

***

size of the total moment of number 4 (ScMoAs)?
0.00 Bohr magnetons per cell

***

What did the second record say?
Sn3Sb2Se: relaxed, PBE.

Calculated values
The size of the total moment is 0.00 Bohr magnetons per cell. The crystal system is monoclinic. For the final energy, the calculation gives -4.082 eV per atom. Its space-group type is P2_1/c.

abc: 6.155 13.045 8.738
angles: 90.00 90.37 90.00
Fractional coordinates of all 24 atoms:
Sn1 0.223 0.081 0.118
Sn2 0.223 0.419 0.618
Sn3 0.246 0.741 0.613
Sn4 0.246 0.759 0.113
Sn5 0.253 0.086 0.621
Sn6 0.253 0.414 0.121
Sn7 0.747 0.586 0.879
Sn8 0.747 0.914 0.379
Sn9 0.754 0.241 0.887
Sn10 0.754 0.259 0.387
Sn11 0.777 0.581 0.382
Sn12 0.777 0.919 0.882
Sb1 0.249 0.584 0.877
Sb2 0.249 0.916 0.377
Sb3 0.257 0.250 0.378
Sb4 0.257 0.250 0.878
Sb5 0.743 0.750 0.122
Sb6 0.743 0.750 0.622
Sb7 0.751 0.084 0.623
Sb8 0.751 0.416 0.123
Se1 0.236 0.584 0.385
Se2 0.236 0.916 0.885
Se3 0.764 0.084 0.115
Se4 0.764 0.416 0.615

***

Which value of final energy does entry 1 give?
-4.672 eV per atom